Computed, not measured: an optimized crystal structure of ZnIn2H at the GGA-PBE level of DFT.

```
data_ZnIn2H
_chemical_formula_sum 'Zn4 In8 H4'
_space_group_name_H-M_alt 'I -4 2 d'
_space_group_IT_number 122
_space_group_name_Hall 'I -4 2bw'
_cell_length_a 5.2200
_cell_length_b 5.2200
_cell_length_c 12.7389
_cell_angle_alpha 90.00
_cell_angle_beta 90.00
_cell_angle_gamma 90.00
loop_
_atom_site_label
_atom_site_type_symbol
_atom_site_fract_x
_atom_site_fract_y
_atom_site_fract_z
Zn1 Zn 0.0000 0.0000 0.0000
In1 In 0.1574 0.2500 0.6250
H1 H 0.0000 0.0000 0.5000
```

Properties
As for the calculated total energy: -35.07 eV for the cell shown. As for the mass density: 5.7 g/cm³.

Computed, not measured: an optimized crystal structure of Cs2NiPbSe at the GGA-PBE level of DFT.

```
data_Cs2NiPbSe
_chemical_formula_sum 'Cs2 Ni1 Pb1 Se1'
_space_group_name_H-M_alt 'P 4/m m m'
_space_group_IT_number 123
_space_group_name_Hall '-P 4 2'
_cell_length_a 6.9635
_cell_length_b 6.9635
_cell_length_c 4.3332
_cell_angle_alpha 90.00
_cell_angle_beta 90.00
_cell_angle_gamma 90.00
loop_
_atom_site_label
_atom_site_type_symbol
_atom_site_fract_x
_atom_site_fract_y
_atom_site_fract_z
Cs1 Cs 0.0000 0.5000 0.0000
Ni1 Ni 0.0000 0.0000 0.0000
Pb1 Pb 0.5000 0.5000 0.5000
Se1 Se 0.0000 0.0000 0.5000
```

Properties
As for the formation energy without anion corrections: -0.097 eV/atom. As for the calculated total energy: -15.17 eV for the cell shown. As for the mass density: 4.8 g/cm³.

Computed, not measured: an optimized crystal structure of Mg6CoSb at the GGA-PBE level of DFT.

```
data_Mg6CoSb
_chemical_formula_sum 'Mg12 Co2 Sb2'
_space_group_name_H-M_alt 'A m m 2'
_space_group_IT_number 38
_space_group_name_Hall 'A 2 -2'
_cell_length_a 4.8458
_cell_length_b 6.2739
_cell_length_c 10.7448
_cell_angle_alpha 90.00
_cell_angle_beta 90.00
_cell_angle_gamma 90.00
loop_
_atom_site_label
_atom_site_type_symbol
_atom_site_fract_x
_atom_site_fract_y
_atom_site_fract_z
Mg1 Mg 0.0000 0.0000 0.0000
Mg2 Mg 0.0000 0.0000 0.4873
Mg3 Mg 0.0000 0.2304 0.2489
Mg4 Mg 0.5000 0.2476 0.5784
Co1 Co 0.5000 0.0000 0.3268
Sb1 Sb 0.5000 0.0000 0.8300
```

Properties
The energy above the most stable polymorph in this dataset is 0.095 eV/f.u. As for the formation energy without anion corrections: 0.058 eV/atom. As for the calculated total energy: -40.67 eV for the cell shown. As for the mass density: 3.3 g/cm³.

Computed, not measured: an optimized crystal structure of SbOs2 at the GGA-PBE level of DFT.

```
data_SbOs2
_chemical_formula_sum 'Sb4 Os8'
_space_group_name_H-M_alt 'I 41/a m d'
_space_group_IT_number 141
_cell_length_a 3.8469
_cell_length_b 3.8469
_cell_length_c 15.7408
_cell_angle_alpha 90.00
_cell_angle_beta 90.00
_cell_angle_gamma 90.00
loop_
_space_group_symop_operation_xyz
'x,y,z'
'-x,-y,-z'
'-y+1/4,x+3/4,z+1/4'
'y+1/4,-x+3/4,-z+1/4'
'-x+1/2,-y,z+1/2'
'x+1/2,y,-z+1/2'
'y+1/4,-x+1/4,z+3/4'
'-y+1/4,x+1/4,-z+3/4'
'x,-y,-z'
'-x,y,z'
'-y+1/4,-x+1/4,-z+3/4'
'y+1/4,x+1/4,z+3/4'
'-x+1/2,y,-z+1/2'
'x+1/2,-y,z+1/2'
'y+1/4,x+3/4,-z+1/4'
'-y+1/4,-x+3/4,z+1/4'
'x+1/2,y+1/2,z+1/2'
'-x+1/2,-y+1/2,-z+1/2'
'-y+3/4,x+1/4,z+3/4'
'y+3/4,-x+1/4,-z+3/4'
'-x,-y+1/2,z'
'x,y+1/2,-z'
'y+3/4,-x+3/4,z+1/4'
'-y+3/4,x+3/4,-z+1/4'
'x+1/2,-y+1/2,-z+1/2'
'-x+1/2,y+1/2,z+1/2'
'-y+3/4,-x+3/4,-z+1/4'
'y+3/4,x+3/4,z+1/4'
'-x,y+1/2,-z'
'x,-y+1/2,z'
'y+3/4,x+1/4,-z+3/4'
'-y+3/4,-x+1/4,z+3/4'
loop_
_atom_site_label
_atom_site_type_symbol
_atom_site_fract_x
_atom_site_fract_y
_atom_site_fract_z
Sb1 Sb 0.0000 0.2500 0.3750
Os1 Os 0.0000 0.2500 0.7968
```

Properties
As for the formation energy without anion corrections: 0.904 eV/atom. As for the calculated total energy: -95.48 eV for the cell shown. As for the mass density: 14.3 g/cm³.